CrCo2Re | PBE | optimized geometry

```
CrCo2Re
1.0
3.492 0.000 0.000
0.000 3.492 0.000
1.746 1.746 8.458
Re Co Cr
2 4 2
direct
0.000 0.000 0.000
0.750 0.250 0.500
0.611 0.125 0.250
0.139 0.625 0.250
0.375 0.389 0.750
0.875 0.861 0.750
0.500 0.500 0.000
0.250 0.750 0.500
```

Output
Relative energy among the computed polymorphs ... 662 meV per atom
Raw total energy ... -8.4272 eV/atom